No. 1
Material: LiPmMg4
Method: DFT, PBE
State: relaxed

abc: 6.0190 6.0190 6.0190
angles: 60.00 60.00 60.00
Last column: nearest neighbours and their distance in Å.
Element x y z (fractional)
Li  0.0000  0.0000  0.0000  12 Mg 3.53, 4 Pm 3.69
Pm  0.7500  0.7500  0.7500  12 Mg 3.53, 4 Li 3.69
Mg  0.3751  0.3751  0.3751  6 Mg 3.01
Mg  0.3751  0.3751  0.8746  6 Mg 3.01
Mg  0.3751  0.8746  0.3751  6 Mg 3.01
Mg  0.8746  0.3751  0.3751  6 Mg 3.01

Properties
E above lowest polymorph   72 meV/atom
Formation energy from the elements   8 meV per atom
Total DFT energy (no corrections)   -0.07958 Ha/atom


No. 2
Material: Rb2Re2Au
Method: DFT, PBE
State: relaxed

abc: 8.5195 8.5195 8.5195
angles: 152.03 152.03 39.97
Last column: nearest neighbours and their distance in Å.
Element x y z (fractional)
Rb  0.2500  0.7500  0.5000  4 Rb 2.91
Rb  0.7500  0.2500  0.5000  4 Rb 2.91
Re  0.0664  0.0664  0.0000  1 Re 2.13
Re  0.9336  0.9336  0.0000  1 Re 2.13
Au  0.5000  0.5000  0.0000  8 Re 3.10

Properties
E above lowest polymorph   660 meV/atom
Formation energy from the elements   2001 meV per atom
Total DFT energy (no corrections)   -0.14777 Ha/atom


No. 3
Material: CsLa3In
Method: DFT, PBE
State: relaxed

abc: 6.2585 6.2585 6.2585
angles: 90.00 90.00 90.00
Last column: nearest neighbours and their distance in Å.
Element x y z (fractional)
Cs  0.0000  0.0000  0.0000  12 La 4.43
La  0.0000  0.5000  0.5000  2 In 3.13
La  0.5000  0.0000  0.5000  2 In 3.13
La  0.5000  0.5000  0.0000  2 In 3.13
In  0.5000  0.5000  0.5000  6 La 3.13

Properties
E above lowest polymorph   0 meV/atom
Formation energy from the elements   333 meV per atom
Total DFT energy (no corrections)   -0.12280 Ha/atom


No. 4
Material: TbErCu3
Method: DFT, PBE
State: relaxed

abc: 12.8290 12.8290 4.2838
angles: 90.00 90.00 163.87
Last column: nearest neighbours and their distance in Å.
Element x y z (fractional)
Tb  0.0717  0.9283  0.7500  12 Cu 3.01-3.13
Tb  0.9283  0.0717  0.2500  12 Cu 3.01-3.13
Er  0.2046  0.7954  0.2500  7 Cu 2.83-3.12
Er  0.7954  0.2046  0.7500  7 Cu 2.83-3.12
Cu  0.3274  0.6726  0.2500  2 Cu 2.54
Cu  0.3813  0.6187  0.7500  3 Cu 2.43-2.54
Cu  0.4769  0.5231  0.7500  3 Cu 2.43-2.44
Cu  0.5231  0.4769  0.2500  3 Cu 2.43-2.44
Cu  0.6187  0.3813  0.2500  3 Cu 2.43-2.54
Cu  0.6726  0.3274  0.7500  2 Cu 2.54

Properties
Formation energy from the elements   -256 meV per atom
Total DFT energy (no corrections)   -0.16729 Ha/atom


No. 5
Material: AlVH
Method: DFT, PBE
State: relaxed

abc: 4.9483 4.9483 4.9483
angles: 134.07 134.07 66.98
Last column: nearest neighbours and their distance in Å.
Element x y z (fractional)
Al  0.0000  0.0000  0.0000  2 H 1.98
Al  0.7500  0.2500  0.5000  2 H 1.98
V  0.2312  0.7312  0.5000  3 H 1.80-1.95
V  0.4812  0.4812  0.0000  3 H 1.80-1.95
H  0.4488  0.9488  0.5000  3 V 1.80-1.95, 2 Al 1.98
H  0.6988  0.6988  0.0000  3 V 1.80-1.95, 2 Al 1.98

Properties
E above lowest polymorph   138 meV/atom
Total DFT energy (no corrections)   -0.20068 Ha/atom


No. 6
Material: LiLa3Pd
Method: DFT, PBE
State: relaxed

abc: 5.7542 5.7542 5.7542
angles: 90.00 90.00 90.00
Last column: nearest neighbours and their distance in Å.
Element x y z (fractional)
Li  0.0000  0.0000  0.0000  12 La 4.07
La  0.0000  0.5000  0.5000  2 Pd 2.88
La  0.5000  0.0000  0.5000  2 Pd 2.88
La  0.5000  0.5000  0.0000  2 Pd 2.88
Pd  0.5000  0.5000  0.5000  6 La 2.88

Properties
E above lowest polymorph   0 meV/atom
Formation energy from the elements   -63 meV per atom
Total DFT energy (no corrections)   -0.16318 Ha/atom


No. 7
Material: SnAu3N
Method: DFT, PBE
State: relaxed

abc: 5.2865 5.2865 5.2865
angles: 90.00 90.00 90.00
Last column: nearest neighbours and their distance in Å.
Element x y z (fractional)
Sn  0.0000  0.0000  0.0000  6 Au 2.64
Au  0.0000  0.0000  0.5000  2 Sn 2.64
Au  0.0000  0.5000  0.0000  2 Sn 2.64
Au  0.5000  0.0000  0.0000  2 Sn 2.64
N  0.5000  0.5000  0.5000  12 Au 3.74

Properties
E above lowest polymorph   748 meV/atom
Total DFT energy (no corrections)   -0.11044 Ha/atom


No. 8
Material: Pr12ErTm2
Method: DFT, PBE
State: relaxed

abc: 6.8844 6.8844 25.1615
angles: 90.00 90.00 116.59
Last column: nearest neighbours and their distance in Å.
Element x y z (fractional)
Pr  0.0013  0.5013  0.1303  8 Pr 3.38-3.75, 2 Er 3.72-3.77
Pr  0.0019  0.9981  0.9275  2 Er 3.44-3.46, 9 Pr 3.62-3.75
Pr  0.0190  0.5190  0.5869  7 Pr 3.34-3.70
Pr  0.0237  0.9763  0.4395  5 Pr 3.10-3.45
Pr  0.2500  0.2500  0.1977  3 Pr 3.16-3.38
Pr  0.2500  0.2500  0.3231  3 Pr 3.16-3.45
Pr  0.2500  0.2500  0.6769  3 Pr 3.16-3.45
Pr  0.2500  0.2500  0.8023  3 Pr 3.16-3.38
Pr  0.4763  0.5237  0.4395  5 Pr 3.10-3.45
Pr  0.4810  0.9810  0.5869  7 Pr 3.34-3.70
Pr  0.4981  0.5019  0.9275  2 Er 3.44-3.46, 9 Pr 3.62-3.75
Pr  0.4987  0.9987  0.1303  8 Pr 3.38-3.75, 2 Er 3.72-3.77
Pr  0.5013  0.0013  0.8697  8 Pr 3.38-3.75, 2 Er 3.72-3.77
Pr  0.5019  0.4981  0.0725  2 Er 3.44-3.46, 9 Pr 3.62-3.75
Pr  0.5190  0.0190  0.4131  7 Pr 3.34-3.70
Pr  0.5237  0.4763  0.5605  5 Pr 3.10-3.45
Pr  0.7500  0.7500  0.1977  3 Pr 3.16-3.38
Pr  0.7500  0.7500  0.3231  3 Pr 3.16-3.45
Pr  0.7500  0.7500  0.6769  3 Pr 3.16-3.45
Pr  0.7500  0.7500  0.8023  3 Pr 3.16-3.38
Pr  0.9763  0.0237  0.5605  5 Pr 3.10-3.45
Pr  0.9810  0.4810  0.4131  7 Pr 3.34-3.70
Pr  0.9981  0.0019  0.0725  2 Er 3.44-3.46, 9 Pr 3.62-3.75
Pr  0.9987  0.4987  0.8697  8 Pr 3.38-3.75, 2 Er 3.72-3.77
Er  0.2500  0.7500  0.0009  8 Pr 3.44-3.77, 2 Er 3.62
Er  0.7500  0.2500  0.9991  8 Pr 3.44-3.77, 2 Er 3.62
Tm  0.2500  0.7500  0.2694  2 Tm 3.62, 10 Pr 3.70-3.93
Tm  0.2500  0.7500  0.7337  2 Tm 3.62, 10 Pr 3.73-3.87
Tm  0.7500  0.2500  0.2663  2 Tm 3.62, 10 Pr 3.73-3.87
Tm  0.7500  0.2500  0.7306  2 Tm 3.62, 10 Pr 3.70-3.93

Properties
Formation energy from the elements   158 meV per atom
Total DFT energy (no corrections)   -0.16778 Ha/atom


No. 9
Material: CrSBr2
Method: DFT, PBE
State: relaxed

abc: 6.5971 6.5971 6.5971
angles: 119.20 119.20 91.39
Last column: nearest neighbours and their distance in Å.
Element x y z (fractional)
Cr  0.0000  0.0000  0.0000  4 Br 2.33
Cr  0.7500  0.2500  0.5000  4 Br 2.33
S  0.2500  0.7500  0.5000  4 Br 2.99
S  0.5000  0.5000  0.0000  4 Br 2.99
Br  0.0458  0.6250  0.9208  2 Cr 2.33
Br  0.3750  0.2958  0.4208  2 Cr 2.33
Br  0.7042  0.1250  0.0792  2 Cr 2.33
Br  0.8750  0.9542  0.5792  2 Cr 2.33

Properties
E above lowest polymorph   517 meV/atom
Total DFT energy (no corrections)   -0.13223 Ha/atom


No. 10
Material: Dy2NbC
Method: DFT, PBE
State: relaxed

abc: 9.1286 9.1286 9.1286
angles: 21.31 21.31 21.31
Last column: nearest neighbours and their distance in Å.
Element x y z (fractional)
Dy  0.1149  0.1149  0.1149  3 C 2.39
Dy  0.8851  0.8851  0.8851  3 C 2.39
Nb  0.0000  0.0000  0.0000  2 Dy 3.08, 6 Nb 3.37
C  0.5000  0.5000  0.5000  6 Dy 2.39

Properties
Formation energy from the elements   382 meV per atom
Total DFT energy (no corrections)   -0.24780 Ha/atom


No. 11
Material: ErHg4
Method: DFT, PBE
State: relaxed

abc: 4.9421 4.9421 6.0883
angles: 110.01 110.01 62.56
Last column: nearest neighbours and their distance in Å.
Element x y z (fractional)
Er  0.0000  0.0000  0.0000  10 Hg 3.11-3.43
Hg  0.2026  0.2026  0.6122  7 Hg 3.05-3.33
Hg  0.4014  0.4014  0.2077  5 Hg 3.05-3.33, 3 Er 3.11-3.12
Hg  0.5986  0.5986  0.7923  5 Hg 3.05-3.33, 3 Er 3.11-3.12
Hg  0.7974  0.7974  0.3878  7 Hg 3.05-3.33

Properties
E above lowest polymorph   0 meV/atom
Formation energy from the elements   -190 meV per atom
Total DFT energy (no corrections)   -0.04938 Ha/atom


No. 12
Material: KNbCdCo2
Method: DFT, PBE
State: relaxed

abc: 4.5964 4.5964 5.6579
angles: 90.00 90.00 90.00
Last column: nearest neighbours and their distance in Å.
Element x y z (fractional)
K  0.0000  0.0000  0.0000  4 Cd 3.25
Nb  0.5000  0.5000  0.5000  4 Co 2.30
Cd  0.5000  0.5000  0.0000  2 Nb 2.83
Co  0.0000  0.5000  0.5000  2 Nb 2.30
Co  0.5000  0.0000  0.5000  2 Nb 2.30

Properties
Formation energy from the elements   1031 meV per atom
Total DFT energy (no corrections)   -0.15537 Ha/atom


> What is the total DFT energy (no corrections) in the seventh record?

-0.11044 Ha/atom